Computed, not measured: a relaxed structure of Fe2Pd6Rh at the PBE level of DFT.

As for the space group: No. 12. The calculation puts the density of states at the Fermi level at 8.18 states/eV/f.u. The value obtained for the calculated volume is 14.882 A^3/atom. Its final energy is -6.128 eV per atom.

Cell: 4.8486 4.8486 6.9850 Å, 99.89 99.89 56.26°
With the nearest neighbours (Å) after each atom.
Positions (direct):
Fe 0.1099 0.1099 0.1716  7 Pd 2.61-2.81, 1 Rh 2.64, 1 Fe 2.74
Fe 0.8901 0.8901 0.8284  7 Pd 2.61-2.81, 1 Rh 2.64, 1 Fe 2.74
Pd 0.2214 0.2214 0.8487  4 Fe 2.61-2.81, 5 Pd 2.72-2.81, 1 Rh 2.78
Pd 0.3262 0.3262 0.4910  1 Fe 2.61, 5 Pd 2.65-2.81, 3 Rh 2.72-2.80
Pd 0.4557 0.4557 0.1735  3 Fe 2.64-2.95, 7 Pd 2.66-2.80
Pd 0.5443 0.5443 0.8265  3 Fe 2.64-2.95, 7 Pd 2.66-2.80
Pd 0.6738 0.6738 0.5090  1 Fe 2.61, 5 Pd 2.65-2.81, 3 Rh 2.72-2.80
Pd 0.7786 0.7786 0.1513  4 Fe 2.61-2.81, 5 Pd 2.72-2.81, 1 Rh 2.78
Rh 0.0000 0.0000 0.5000  2 Fe 2.64, 8 Pd 2.72-2.80